# 1
A PBEsol-optimized structure of TaAsAu2Se. Source: Alexandria, functional meta-GGA SCAN.

The raw formation energy comes out at 1.05 eV/atom.

Cell and atoms, written as CIF:
```
data_TaAsAu2Se
_chemical_formula_sum 'Ta1 As1 Au2 Se1'
_symmetry_space_group_name_H-M 'P 4/m m m'
_symmetry_Int_Tables_number 123
_symmetry_space_group_name_Hall '-P 4 2'
_cell_length_a 4.700
_cell_length_b 4.700
_cell_length_c 4.986
_cell_angle_alpha 90.00
_cell_angle_beta 90.00
_cell_angle_gamma 90.00
loop_
_atom_site_label
_atom_site_fract_x
_atom_site_fract_y
_atom_site_fract_z
_atom_site_occupancy
Ta1 0.000 0.000 0.000 1
As1 0.500 0.500 0.500 1
Au1 0.000 0.500 0.500 1
Se1 0.500 0.500 0.000 1
```

# 2
A PBEsol-optimized structure of HfAl2F. Source: Alexandria, functional meta-GGA SCAN.

The raw formation energy comes out at -0.50 eV/atom.

Cell and atoms, written as CIF:
```
data_HfAl2F
_chemical_formula_sum 'Hf4 Al8 F4'
_symmetry_space_group_name_H-M 'I -4 2 d'
_symmetry_Int_Tables_number 122
_symmetry_space_group_name_Hall 'I -4 2bw'
_cell_length_a 6.180
_cell_length_b 6.180
_cell_length_c 7.197
_cell_angle_alpha 90.00
_cell_angle_beta 90.00
_cell_angle_gamma 90.00
loop_
_atom_site_label
_atom_site_fract_x
_atom_site_fract_y
_atom_site_fract_z
_atom_site_occupancy
Hf1 0.000 0.000 0.000 1
Al1 0.153 0.750 0.625 1
F1 0.000 0.000 0.500 1
```

# 3
A PBEsol-optimized structure of SiMoRu. Source: Alexandria, functional meta-GGA SCAN.

The raw formation energy comes out at -0.43 eV/atom.

Cell and atoms, written as CIF:
```
data_SiMoRu
_chemical_formula_sum 'Si2 Mo2 Ru2'
_symmetry_space_group_name_H-M 'I 4 m m'
_symmetry_Int_Tables_number 107
_symmetry_space_group_name_Hall 'I 4 -2'
_cell_length_a 2.867
_cell_length_b 2.867
_cell_length_c 9.720
_cell_angle_alpha 90.00
_cell_angle_beta 90.00
_cell_angle_gamma 90.00
loop_
_atom_site_label
_atom_site_fract_x
_atom_site_fract_y
_atom_site_fract_z
_atom_site_occupancy
Si1 0.000 0.000 0.000 1
Mo1 0.000 0.000 0.329 1
Ru1 0.000 0.000 0.642 1
```

# 4
A PBEsol-optimized structure of Ag2HgAu2. Source: Alexandria, functional meta-GGA SCAN.

As for the relative energy among the computed polymorphs: 0.00 eV/f.u.

Cell and atoms, written as CIF:
```
data_Ag2HgAu2
_chemical_formula_sum 'Ag4 Hg2 Au4'
_symmetry_space_group_name_H-M 'P 4/m b m'
_symmetry_Int_Tables_number 127
_symmetry_space_group_name_Hall '-P 4 2ab'
_cell_length_a 7.295
_cell_length_b 7.295
_cell_length_c 3.493
_cell_angle_alpha 90.00
_cell_angle_beta 90.00
_cell_angle_gamma 90.00
loop_
_atom_site_label
_atom_site_fract_x
_atom_site_fract_y
_atom_site_fract_z
_atom_site_occupancy
Ag1 0.161 0.339 0.000 1
Hg1 0.000 0.000 0.500 1
Au1 0.136 0.636 0.500 1
```

# 5
A PBEsol-optimized structure of CdC3Cl. Source: Alexandria, functional meta-GGA SCAN.

The raw formation energy comes out at 3.49 eV/atom.

Cell and atoms, written as CIF:
```
data_CdC3Cl
_chemical_formula_sum 'Cd1 C3 Cl1'
_symmetry_space_group_name_H-M 'P m -3 m'
_symmetry_Int_Tables_number 221
_symmetry_space_group_name_Hall '-P 4 2 3'
_cell_length_a 4.334
_cell_length_b 4.334
_cell_length_c 4.334
_cell_angle_alpha 90.00
_cell_angle_beta 90.00
_cell_angle_gamma 90.00
loop_
_atom_site_label
_atom_site_fract_x
_atom_site_fract_y
_atom_site_fract_z
_atom_site_occupancy
Cd1 0.000 0.000 0.000 1
C1 0.000 0.000 0.500 1
Cl1 0.500 0.500 0.500 1
```

# 6
A PBEsol-optimized structure of Zr2IrRh. Source: Alexandria, functional meta-GGA SCAN.

The value obtained for the raw total energy is -42.35 eV per atom.

Cell and atoms, written as CIF:
```
data_Zr2IrRh
_chemical_formula_sum 'Zr2 Ir1 Rh1'
_symmetry_space_group_name_H-M 'P 4 m m'
_symmetry_Int_Tables_number 99
_symmetry_space_group_name_Hall 'P 4 -2'
_cell_length_a 3.674
_cell_length_b 3.674
_cell_length_c 5.503
_cell_angle_alpha 90.00
_cell_angle_beta 90.00
_cell_angle_gamma 90.00
loop_
_atom_site_label
_atom_site_fract_x
_atom_site_fract_y
_atom_site_fract_z
_atom_site_occupancy
Zr1 0.000 0.000 0.000 1
Zr2 0.500 0.500 0.374 1
Ir1 0.000 0.000 0.493 1
Rh1 0.500 0.500 0.875 1
```

Number 1: density of states at the Fermi level 4.0 states/eV/f.u., spin magnetization 2.72 μB/f.u.. Number 2: density of states at the Fermi level 1.6 states/eV/f.u., spin magnetization 0.00 μB/f.u.. Number 3: density of states at the Fermi level 1.4 states/eV/f.u., spin magnetization 0.00 μB/f.u.. Number 4: density of states at the Fermi level 1.5 states/eV/f.u., spin magnetization 0.00 μB/f.u.. Number 5: density of states at the Fermi level 3.9 states/eV/f.u., spin magnetization 3.52 μB/f.u.. Number 6: density of states at the Fermi level 2.2 states/eV/f.u., spin magnetization 0.00 μB/f.u..